The following is a DFT calculation (PBE) of an optimized crystal structure of Pm5P2Se2.

Calculated values
**Uncorrected formation energy**: -1422 meV per atom

Cell lengths 8.3645, 8.3645, 7.7753 Å; angles 90.00, 90.00, 55.22 degrees
Fractional coordinates of all 18 atoms:
1 Pm 0.0000 0.0000 0.0000
2 Pm 0.0276 0.7113 0.6561
3 Pm 0.2113 0.5276 0.1561
4 Pm 0.2887 0.9724 0.6561
5 Pm 0.4724 0.7887 0.1561
6 Pm 0.5000 0.5000 0.5000
7 Pm 0.5276 0.2113 0.8439
8 Pm 0.7113 0.0276 0.3439
9 Pm 0.7887 0.4724 0.8439
10 Pm 0.9724 0.2887 0.3439
11 P 0.1465 0.8535 0.3551
12 P 0.3535 0.6465 0.8551
13 P 0.6465 0.3535 0.1449
14 P 0.8535 0.1465 0.6449
15 Se 0.1987 0.1987 0.0000
16 Se 0.3013 0.3013 0.5000
17 Se 0.6987 0.6987 0.5000
18 Se 0.8013 0.8013 0.0000

The following is a DFT calculation (PBE) of an optimized crystal structure of Li2TmSi.

Calculated values
**Uncorrected formation energy**: -234 meV per atom

Cell lengths 4.4939, 4.4939, 4.4939 Å; angles 60.00, 60.00, 60.00 degrees
Fractional coordinates of all 4 atoms:
1 Li 0.2500 0.2500 0.2500
2 Li 0.7500 0.7500 0.7500
3 Tm 0.0000 0.0000 0.0000
4 Si 0.5000 0.5000 0.5000

The following is a DFT calculation (PBE) of an optimized crystal structure of CdHIrRh2.

Calculated values
**E**: -5.49 eV per atom

Cell lengths 4.0478, 4.0478, 3.9394 Å; angles 90.00, 90.00, 90.00 degrees
Fractional coordinates of all 5 atoms:
1 Cd 0.0000 0.0000 0.0000
2 H 0.5000 0.5000 0.5000
3 Ir 0.5000 0.5000 0.0000
4 Rh 0.0000 0.5000 0.5000
5 Rh 0.5000 0.0000 0.5000

The following is a DFT calculation (PBE) of an optimized crystal structure of NaLaIN.

Calculated values
**Uncorrected formation energy**: -1069 meV per atom

Cell lengths 8.2022, 8.2022, 8.2022 Å; angles 28.16, 28.16, 28.16 degrees
Fractional coordinates of all 4 atoms:
1 Na 0.0000 0.0000 0.0000
2 La 0.4613 0.4613 0.4613
3 I 0.2464 0.2464 0.2464
4 N 0.0986 0.0986 0.0986

The following is a DFT calculation (PBE) of an optimized crystal structure of Ag4Pd6F19.

Calculated values
**Uncorrected formation energy**: -1117 meV per atom

Cell lengths 8.4511, 8.4511, 8.4511 Å; angles 109.47, 109.47, 109.47 degrees
Fractional coordinates of all 29 atoms:
1 Ag 0.0000 0.0000 0.7191
2 Ag 0.0000 0.7191 0.0000
3 Ag 0.2809 0.2809 0.2809
4 Ag 0.7191 0.0000 0.0000
5 Pd 0.1620 0.6620 0.5000
6 Pd 0.3380 0.5000 0.8380
7 Pd 0.5000 0.1620 0.6620
8 Pd 0.5000 0.8380 0.3380
9 Pd 0.6620 0.5000 0.1620
10 Pd 0.8380 0.3380 0.5000
11 F 0.0000 0.0000 0.0000
12 F 0.0000 0.3448 0.3448
13 F 0.0000 0.6552 0.6552
14 F 0.0352 0.2994 0.6818
15 F 0.2642 0.9648 0.6466
16 F 0.2994 0.6818 0.0352
17 F 0.3182 0.6176 0.3534
18 F 0.3448 0.0000 0.3448
19 F 0.3448 0.3448 0.0000
20 F 0.3534 0.3182 0.6176
21 F 0.3824 0.7006 0.7358
22 F 0.6176 0.3534 0.3182
23 F 0.6466 0.2642 0.9648
24 F 0.6552 0.0000 0.6552
25 F 0.6552 0.6552 0.0000
26 F 0.6818 0.0352 0.2994
27 F 0.7006 0.7358 0.3824
28 F 0.7358 0.3824 0.7006
29 F 0.9648 0.6466 0.2642

The following is a DFT calculation (PBE) of an optimized crystal structure of Sr2Zn2Te.

Calculated values
**Uncorrected formation energy**: -511 meV per atom
**Energy relative to the lowest polymorph listed for this composition**: 0.000 eV per atom

Cell lengths 8.2274, 8.2274, 4.4097 Å; angles 90.00, 90.00, 90.00 degrees
Fractional coordinates of all 10 atoms:
1 Sr 0.1834 0.3166 0.0000
2 Sr 0.3166 0.8166 0.0000
3 Sr 0.6834 0.1834 0.0000
4 Sr 0.8166 0.6834 0.0000
5 Zn 0.1101 0.6101 0.5000
6 Zn 0.3899 0.1101 0.5000
7 Zn 0.6101 0.8899 0.5000
8 Zn 0.8899 0.3899 0.5000
9 Te 0.0000 0.0000 0.5000
10 Te 0.5000 0.5000 0.5000

The following is a DFT calculation (PBE) of an optimized crystal structure of Zr2MnFe.

Calculated values
**Energy relative to the lowest polymorph listed for this composition**: 0.263 eV per atom

Cell lengths 4.5640, 4.5640, 4.5640 Å; angles 60.00, 60.00, 60.00 degrees
Fractional coordinates of all 4 atoms:
1 Zr 0.0000 0.0000 0.0000
2 Zr 0.2500 0.2500 0.2500
3 Mn 0.5000 0.5000 0.5000
4 Fe 0.7500 0.7500 0.7500

The following is a DFT calculation (PBE) of an optimized crystal structure of Ti4AgPd5.

Calculated values
**E**: -6.51 eV per atom

Cell lengths 2.9025, 2.9025, 18.8645 Å; angles 90.00, 90.00, 90.00 degrees
Fractional coordinates of all 10 atoms:
1 Ti 0.0000 0.0000 0.0997
2 Ti 0.0000 0.0000 0.3000
3 Ti 0.0000 0.0000 0.7000
4 Ti 0.0000 0.0000 0.9003
5 Ag 0.0000 0.0000 0.5000
6 Pd 0.5000 0.5000 0.0000
7 Pd 0.5000 0.5000 0.1993
8 Pd 0.5000 0.5000 0.3913
9 Pd 0.5000 0.5000 0.6087
10 Pd 0.5000 0.5000 0.8007

The following is a DFT calculation (PBE) of an optimized crystal structure of Cs12K2Na5.

Calculated values
**E**: -0.98 eV per atom

Cell lengths 11.9041, 11.9041, 12.4130 Å; angles 102.09, 102.09, 80.85 degrees
Fractional coordinates of all 19 atoms:
1 Cs 0.0174 0.3438 0.8210
2 Cs 0.0986 0.0986 0.1829
3 Cs 0.1649 0.6129 0.5895
4 Cs 0.3438 0.0174 0.8210
5 Cs 0.3831 0.3831 0.2349
6 Cs 0.3871 0.8351 0.4105
7 Cs 0.6129 0.1649 0.5895
8 Cs 0.6169 0.6169 0.7651
9 Cs 0.6562 0.9826 0.1790
10 Cs 0.8351 0.3871 0.4105
11 Cs 0.9014 0.9014 0.8171
12 Cs 0.9826 0.6562 0.1790
13 K 0.3028 0.6972 0.0000
14 K 0.6972 0.3028 0.0000
15 Na 0.0000 0.0000 0.5000
16 Na 0.2234 0.2234 0.5396
17 Na 0.3769 0.3769 0.8179
18 Na 0.6231 0.6231 0.1821
19 Na 0.7766 0.7766 0.4604

The following is a DFT calculation (PBE) of an optimized crystal structure of TaZnHg2.

Calculated values
**E**: -2.78 eV per atom

Cell lengths 4.7795, 4.7795, 4.7795 Å; angles 60.00, 60.00, 60.00 degrees
Fractional coordinates of all 4 atoms:
1 Ta 0.0000 0.0000 0.0000
2 Zn 0.7500 0.7500 0.7500
3 Hg 0.2500 0.2500 0.2500
4 Hg 0.5000 0.5000 0.5000

The following is a DFT calculation (PBE) of an optimized crystal structure of Hf4HRh.

Calculated values
**E**: -8.57 eV per atom

Cell lengths 6.7482, 6.7482, 6.7482 Å; angles 105.27, 105.27, 118.25 degrees
Fractional coordinates of all 12 atoms:
1 Hf 0.2216 0.2696 0.5480
2 Hf 0.2216 0.6736 0.9520
3 Hf 0.2696 0.2216 0.0480
4 Hf 0.3264 0.7784 0.5480
5 Hf 0.6736 0.2216 0.4520
6 Hf 0.7304 0.7784 0.9520
7 Hf 0.7784 0.3264 0.0480
8 Hf 0.7784 0.7304 0.4520
9 H 0.3750 0.6250 0.7500
10 H 0.6250 0.3750 0.2500
11 Rh 0.1250 0.8750 0.2500
12 Rh 0.8750 0.1250 0.7500

The following is a DFT calculation (PBE) of an optimized crystal structure of Pr2Zn3SnPd4.

Calculated values
**E**: -4.45 eV per atom

Cell lengths 4.4040, 4.4040, 10.4775 Å; angles 90.00, 90.00, 90.00 degrees
Fractional coordinates of all 10 atoms:
1 Pr 0.0000 0.5000 0.2377
2 Pr 0.5000 0.0000 0.7623
3 Zn 0.0000 0.5000 0.8773
4 Zn 0.5000 0.0000 0.1227
5 Zn 0.5000 0.5000 0.5000
6 Sn 0.0000 0.0000 0.5000
7 Pd 0.0000 0.0000 0.0000
8 Pd 0.0000 0.5000 0.6405
9 Pd 0.5000 0.0000 0.3595
10 Pd 0.5000 0.5000 0.0000

The following is a DFT calculation (PBE) of an optimized crystal structure of Ce2Ga6Ir.

Calculated values
**Energy relative to the lowest polymorph listed for this composition**: 0.000 eV per atom

Cell lengths 6.2702, 6.2702, 6.2702 Å; angles 60.00, 60.00, 60.00 degrees
Fractional coordinates of all 9 atoms:
1 Ce 0.2500 0.2500 0.2500
2 Ce 0.7500 0.7500 0.7500
3 Ga 0.2162 0.2162 0.7838
4 Ga 0.2162 0.7838 0.2162
5 Ga 0.2162 0.7838 0.7838
6 Ga 0.7838 0.2162 0.2162
7 Ga 0.7838 0.2162 0.7838
8 Ga 0.7838 0.7838 0.2162
9 Ir 0.5000 0.5000 0.5000

The following is a DFT calculation (PBE) of an optimized crystal structure of CsSmI2.

Calculated values
**Uncorrected formation energy**: -978 meV per atom
**Energy relative to the lowest polymorph listed for this composition**: 0.000 eV per atom

Cell lengths 10.3998, 10.3998, 10.3998 Å; angles 23.58, 23.58, 23.58 degrees
Fractional coordinates of all 4 atoms:
1 Cs 0.0000 0.0000 0.0000
2 Sm 0.5000 0.5000 0.5000
3 I 0.2365 0.2365 0.2365
4 I 0.7635 0.7635 0.7635

The following is a DFT calculation (PBE) of an optimized crystal structure of CdNi.

Calculated values
**E**: -3.22 eV per atom

Cell lengths 4.9037, 4.9037, 4.9037 Å; angles 133.13, 133.13, 68.44 degrees
Fractional coordinates of all 4 atoms:
1 Cd 0.3750 0.6250 0.7500
2 Cd 0.6250 0.3750 0.2500
3 Ni 0.1250 0.8750 0.2500
4 Ni 0.8750 0.1250 0.7500

The following is a DFT calculation (PBE) of an optimized crystal structure of Be3TcPt.

Calculated values
**Energy relative to the lowest polymorph listed for this composition**: 0.372 eV per atom

Cell lengths 4.0579, 4.0579, 4.0579 Å; angles 90.00, 90.00, 90.00 degrees
Fractional coordinates of all 5 atoms:
1 Be 0.0000 0.0000 0.5000
2 Be 0.0000 0.5000 0.0000
3 Be 0.5000 0.0000 0.0000
4 Tc 0.0000 0.0000 0.0000
5 Pt 0.5000 0.5000 0.5000

The following is a DFT calculation (PBE) of an optimized crystal structure of SrCd.

Calculated values
**E**: -1.45 eV per atom

Cell lengths 5.5419, 5.5419, 5.5419 Å; angles 60.00, 60.00, 60.00 degrees
Fractional coordinates of all 4 atoms:
1 Sr 0.1250 0.1250 0.1250
2 Sr 0.8750 0.8750 0.8750
3 Cd 0.3750 0.3750 0.3750
4 Cd 0.6250 0.6250 0.6250

The following is a DFT calculation (PBE) of an optimized crystal structure of TbCoI.

Calculated values
**Uncorrected formation energy**: -788 meV per atom

Cell lengths 3.9909, 3.9909, 12.6644 Å; angles 99.25, 99.25, 59.99 degrees
Fractional coordinates of all 6 atoms:
1 Tb 0.0000 0.0000 0.0000
2 Tb 0.1004 0.1004 0.2957
3 Co 0.3837 0.3837 0.1479
4 Co 0.7170 0.7170 0.1479
5 I 0.2733 0.2733 0.8249
6 I 0.4930 0.4930 0.4708

The following is a DFT calculation (PBE) of an optimized crystal structure of SrZr2BeHg.

Calculated values
**E**: -2.48 eV per atom

Cell lengths 5.2967, 5.2967, 5.5084 Å; angles 90.00, 90.00, 90.00 degrees
Fractional coordinates of all 5 atoms:
1 Sr 0.0000 0.0000 0.0000
2 Zr 0.0000 0.5000 0.0000
3 Zr 0.5000 0.0000 0.0000
4 Be 0.5000 0.5000 0.5000
5 Hg 0.0000 0.0000 0.5000

The following is a DFT calculation (PBE) of an optimized crystal structure of YSc4O.

Calculated values
**Uncorrected formation energy**: -891 meV per atom

Cell lengths 8.1982, 8.1982, 6.4380 Å; angles 90.00, 90.00, 144.31 degrees
Fractional coordinates of all 12 atoms:
1 Y 0.2052 0.7948 0.7500
2 Y 0.7948 0.2052 0.2500
3 Sc 0.0026 0.9974 0.2500
4 Sc 0.1971 0.8029 0.2500
5 Sc 0.4023 0.5977 0.5020
6 Sc 0.4023 0.5977 0.9980
7 Sc 0.5977 0.4023 0.0020
8 Sc 0.5977 0.4023 0.4980
9 Sc 0.8029 0.1971 0.7500
10 Sc 0.9974 0.0026 0.7500
11 O 0.4988 0.5012 0.2500
12 O 0.5012 0.4988 0.7500

We obtain calculated density values of 7.0; 5.5; 13.2; 4.6; 5.1; 4.8; 7.2; 8.7; 1.8; 13.9; 11.7; 8.4; 8.5; 5.6; 9.2; 8.0; 5.5; 6.7; 5.2; 3.7 g/cm³ for the records listed above, in that order.